Density functional theory data (PBE+U) for a geometry-optimized PaVCr2O6 structure.

Lattice parameters (Å, degrees): 5.503 5.467 5.689 62.69 63.01 57.97
Each line ends with the local moment (μB).
Fractional coordinates of all 10 atoms:
O 0.215 0.909 0.246  -0.05
O 0.101 0.380 0.775  -0.01
O 0.389 0.732 0.747  -0.03
O 0.628 0.219 0.247  -0.05
O 0.735 0.130 0.746  -0.04
O 0.928 0.636 0.238  -0.02
Cr 0.015 0.011 0.963  3.08
Cr 0.525 0.527 0.432  3.73
V 0.319 0.312 0.047  2.65
Pa 0.808 0.805 0.574  0.24

The calculation puts the spin magnetization at 10.0 μB/f.u. Its symmetry is P1 (1). The value obtained for the calculated total energy is -85.1 eV for the cell shown.